This record from Alexandria describes an optimized crystal structure of AlCdIn2. The functional is PBE.

abc: 3.2630 4.4916 6.4868
angles: 90.00 90.00 90.00
Closest atoms and distances in Å follow each position.
Fractional positions:
Al1 0.0000 0.0000 0.0000  6 In 3.16-3.33, 4 Cd 3.16, 2 Al 3.26
Cd1 0.5000 0.5000 0.2331  6 In 3.07-3.42, 4 Al 3.16, 2 Cd 3.26
In1 0.0000 0.0000 0.4868  2 Al 3.16-3.33, 4 Cd 3.23, 6 In 3.26-3.30
In2 0.5000 0.5000 0.7605  2 Cd 3.07-3.42, 4 Al 3.18, 6 In 3.26-3.30

formation enthalpy at 0 K	0.1246	eV per atom
crystal system	orthorhombic
space-group type	Pmm2 (25)
Fermi-level density of states	0.328	states/eV per atom

This record from Alexandria describes an optimized crystal structure of AlCdIn2. The functional is PBE.

abc: 3.1861 4.4333 6.7176
angles: 90.00 93.38 90.00
Closest atoms and distances in Å follow each position.
Fractional positions:
Al1 0.0000 0.0000 0.0000  8 In 3.11-3.24, 2 Al 3.19, 2 Cd 3.36
Cd1 0.0000 0.0000 0.5000  2 Cd 3.19, 8 In 3.21-3.27, 2 Al 3.36
In1 0.4877 0.5000 0.2405  4 Al 3.11-3.24, 3 In 3.19-3.24, 4 Cd 3.21-3.27
In2 0.5123 0.5000 0.7595  4 Al 3.11-3.24, 3 In 3.19-3.24, 4 Cd 3.21-3.27

formation enthalpy at 0 K	0.1203	eV per atom
crystal system	monoclinic
space-group type	P2/m (10)
Fermi-level density of states	0.295	states/eV per atom

This record from Alexandria describes an optimized crystal structure of Al2CdIn. The functional is PBE.

abc: 10.1187 10.1187 10.1187
angles: 17.67 17.67 17.67
Closest atoms and distances in Å follow each position.
Fractional positions:
Al1 0.2490 0.2490 0.2490  3 Cd 3.05, 3 In 3.09, 6 Al 3.11
Al2 0.7510 0.7510 0.7510  3 Cd 3.05, 3 In 3.09, 6 Al 3.11
Cd1 0.5000 0.5000 0.5000  6 Al 3.05, 6 Cd 3.11
In1 0.0000 0.0000 0.0000  6 Al 3.09, 6 In 3.11

formation enthalpy at 0 K	0.1544	eV per atom
crystal system	trigonal
space-group type	R-3m (166)
Fermi-level density of states	0.305	states/eV per atom

Question: formation enthalpy at 0 K of number 1 (AlCdIn2)?
Answer: 0.1246 eV per atom